[1]
# Tm4MgCd2

A relaxed structure of Tm4MgCd2 (PBE-GGA, the Alexandria database).

As for the density of states at the Fermi level: 1.656 states/eV per atom. Its total energy is -2.934 eV/atom. For the size of the total moment, the calculation gives 0.0 μB per cell. As for the formation energy: 111 meV per atom. As for the energy above the most stable polymorph in this dataset: 0.187 eV/atom.

Cell: 5.2751 5.2751 25.6520 Å, 90.00 90.00 120.00°
Space group R-3m (No. 166, hexagonal axes)
Inequivalent atoms, fractional coordinates:
Tm  0.0000  0.0000  0.1285 x6
Tm  0.0000  0.0000  0.2769 x6
Mg  0.0000  0.0000  0.5000 x3
Cd  0.0000  0.0000  0.3961 x6

***

[2]
# PmHo4Ga5

A relaxed structure of PmHo4Ga5 (PBE-GGA, the Alexandria database).

As for the density of states at the Fermi level: 0.410 states/eV per atom. Its total energy is -4.399 eV/atom. For the size of the total moment, the calculation gives 0.0 μB per cell. As for the formation energy: -579 meV per atom.

Cell: 3.574 3.574 17.910 Å, 90.00 90.00 90.00°
Space group P4/mmm (No. 123)
Inequivalent atoms, fractional coordinates:
Pm  0.000  0.000  0.000 x1
Ho  0.000  0.000  0.205 x2
Ho  0.000  0.000  0.402 x2
Ga  0.500  0.500  0.108 x2
Ga  0.500  0.500  0.303 x2
Ga  0.500  0.500  0.500 x1

***

[3]
# LaPm3Ni

A relaxed structure of LaPm3Ni (PBE-GGA, the Alexandria database).

As for the density of states at the Fermi level: 1.344 states/eV per atom. Its total energy is -5.118 eV/atom. For the size of the total moment, the calculation gives 0.0 μB per cell. As for the formation energy: -126 meV per atom. As for the energy above the most stable polymorph in this dataset: 0.000 eV/atom.

Cell: 12.151 3.782 14.081 Å, 90.00 112.50 90.00°
Space group Cm (No. 8)
Inequivalent atoms, fractional coordinates:
La  0.000  0.000  0.000 x2
La  0.123  0.000  0.282 x2
Pm  0.107  0.000  0.622 x2
Pm  0.229  0.000  0.897 x2
Pm  0.288  0.500  0.143 x2
Pm  0.288  0.500  0.520 x2
Pm  0.441  0.000  0.385 x2
Pm  0.444  0.000  0.757 x2
Ni  0.260  0.500  0.758 x2
Ni  0.472  0.000  0.139 x2

***

[4]
# TaIn2Rh

A relaxed structure of TaIn2Rh (PBE-GGA, the Alexandria database).

As for the density of states at the Fermi level: 0.377 states/eV per atom. Its total energy is -6.153 eV/atom. For the size of the total moment, the calculation gives 0.0 μB per cell. As for the formation energy: 17 meV per atom.

Cell: 3.060 4.468 5.851 Å, 90.00 104.31 90.00°
Space group Pm (No. 6)
Inequivalent atoms, fractional coordinates:
Ta  0.000  0.000  0.000 x1
In  0.268  0.000  0.539 x1
In  0.607  0.500  0.229 x1
Rh  0.872  0.500  0.771 x1

***

[5]
# YPdCl6

A relaxed structure of YPdCl6 (PBE-GGA, the Alexandria database).

As for the density of states at the Fermi level: 0.099 states/eV per atom. The value obtained for the formation energy without anion corrections is -1.214 eV/atom. Its total energy is -4.056 eV/atom. For the size of the total moment, the calculation gives 1.0 μB per cell.

Cell: 6.289 6.333 6.795 Å, 62.33 89.71 62.84°
Space group P-1 (No. 2)
Inequivalent atoms, fractional coordinates:
Y  0.000  0.000  0.000 x1
Pd  0.500  0.000  0.500 x1
Cl  0.097  0.490  0.251 x2
Cl  0.275  0.827  0.741 x2
Cl  0.424  0.846  0.264 x2

***

[6]
# Na2GaI6

A relaxed structure of Na2GaI6 (PBE-GGA, the Alexandria database).

As for the density of states at the Fermi level: 1.391 states/eV per atom. The value obtained for the formation energy without anion corrections is -0.591 eV/atom. Its total energy is -2.254 eV/atom. For the size of the total moment, the calculation gives 0.0 μB per cell. As for the energy above the most stable polymorph in this dataset: 0.096 eV/atom.

Cell: 7.305 7.305 13.587 Å, 90.00 90.00 90.00°
Space group P4_2/mnm (No. 136)
Inequivalent atoms, fractional coordinates:
Na  0.000  0.000  0.166 x4
Ga  0.000  0.000  0.500 x2
I  0.187  0.187  0.351 x8
I  0.225  0.225  0.000 x4

***

[7]
# Cs2Cd2Cl7

A relaxed structure of Cs2Cd2Cl7 (PBE-GGA, the Alexandria database).

As for the density of states at the Fermi level: 1.024 states/eV per atom. The value obtained for the formation energy without anion corrections is -1.147 eV/atom. Its total energy is -2.644 eV/atom. For the size of the total moment, the calculation gives 1.2 μB per cell. As for the energy above the most stable polymorph in this dataset: 0.106 eV/atom.

Cell: 8.619 10.209 8.025 Å, 90.00 90.00 90.00°
Space group Cmmm (No. 65)
Inequivalent atoms, fractional coordinates:
Cs  0.225  0.000  0.000 x4
Cd  0.000  0.271  0.500 x4
Cl  0.000  0.000  0.500 x2
Cl  0.000  0.500  0.297 x4
Cl  0.250  0.250  0.288 x8

***

[8]
# BaSiW2

A relaxed structure of BaSiW2 (PBE-GGA, the Alexandria database).

As for the density of states at the Fermi level: 0.846 states/eV per atom. The value obtained for the formation energy without anion corrections is 1.521 eV/atom. Its total energy is -6.792 eV/atom. For the size of the total moment, the calculation gives 0.0 μB per cell. As for the energy above the most stable polymorph in this dataset: 1.105 eV/atom.

Cell: 4.574 4.574 3.552 Å, 90.00 90.00 90.00°
Space group P4/mmm (No. 123)
Inequivalent atoms, fractional coordinates:
Ba  0.000  0.000  0.000 x1
Si  0.500  0.500  0.000 x1
W  0.000  0.500  0.500 x2

***

[9]
# Pm2PaO

A relaxed structure of Pm2PaO (PBE-GGA, the Alexandria database).

As for the density of states at the Fermi level: 1.194 states/eV per atom. The value obtained for the formation energy without anion corrections is -0.971 eV/atom. Its total energy is -6.960 eV/atom. For the size of the total moment, the calculation gives 0.0 μB per cell.

Cell: 3.3640 3.3640 28.7270 Å, 90.00 90.00 120.00°
Space group R-3m (No. 166, hexagonal axes)
Inequivalent atoms, fractional coordinates:
Pm  0.0000  0.0000  0.1139 x6
Pa  0.0000  0.0000  0.0000 x3
O  0.0000  0.0000  0.5000 x3

***

[10]
# B3OsRu

A relaxed structure of B3OsRu (PBE-GGA, the Alexandria database).

As for the density of states at the Fermi level: 0.456 states/eV per atom. Its total energy is -6.837 eV/atom. For the size of the total moment, the calculation gives 2.7 μB per cell. As for the formation energy: 1271 meV per atom. As for the energy above the most stable polymorph in this dataset: 0.000 eV/atom.

Cell: 4.035 4.035 4.035 Å, 90.00 90.00 90.00°
Space group Pm-3m (No. 221)
Inequivalent atoms, fractional coordinates:
B  0.000  0.000  0.500 x3
Os  0.000  0.000  0.000 x1
Ru  0.500  0.500  0.500 x1

***

[11]
# Sm5Cd4Ga

A relaxed structure of Sm5Cd4Ga (PBE-GGA, the Alexandria database).

As for the density of states at the Fermi level: 1.114 states/eV per atom. Its total energy is -3.393 eV/atom. For the size of the total moment, the calculation gives 0.9 μB per cell. As for the formation energy: -365 meV per atom.

Cell: 3.744 3.744 19.273 Å, 90.00 90.00 90.00°
Space group P4/mmm (No. 123)
Inequivalent atoms, fractional coordinates:
Sm  0.000  0.000  0.000 x1
Sm  0.000  0.000  0.204 x2
Sm  0.000  0.000  0.409 x2
Cd  0.500  0.500  0.102 x2
Cd  0.500  0.500  0.305 x2
Ga  0.500  0.500  0.500 x1

***

[12]
# HfCrCo2Sb

A relaxed structure of HfCrCo2Sb (PBE-GGA, the Alexandria database).

As for the density of states at the Fermi level: 1.383 states/eV per atom. The value obtained for the formation energy without anion corrections is 0.760 eV/atom. Its total energy is -6.822 eV/atom. For the size of the total moment, the calculation gives 0.0 μB per cell.

Cell: 4.263 4.263 4.839 Å, 90.00 90.00 90.00°
Space group P4/mmm (No. 123)
Inequivalent atoms, fractional coordinates:
Hf  0.000  0.000  0.000 x1
Cr  0.000  0.000  0.500 x1
Co  0.000  0.500  0.500 x2
Sb  0.500  0.500  0.000 x1